1.
Ca4HfHg2 | GGA-PBE | relaxed

```
Ca4HfHg2
1.0
-2.8674 2.8674 7.7297
2.8674 -2.8674 7.7297
2.8674 2.8674 -7.7297
Ca Hf Hg
4 1 2
direct
0.0000 0.5000 0.5000 Ca
0.1998 0.1998 0.0000 Ca
0.5000 0.0000 0.5000 Ca
0.8002 0.8002 0.0000 Ca
0.0000 0.0000 0.0000 Hf
0.3974 0.3974 0.0000 Hg
0.6026 0.6026 0.0000 Hg
```

As for the crystal system: tetragonal. As for the formation energy: 438 meV/atom.


2.
LiCuGe2 | GGA-PBE | relaxed

```
LiCuGe2
1.0
0.0000 3.1328 3.1328
3.1328 0.0000 3.1328
3.1328 3.1328 0.0000
Li Cu Ge
1 1 2
direct
0.0000 0.0000 0.0000 Li
0.5000 0.5000 0.5000 Cu
0.2500 0.2500 0.2500 Ge
0.7500 0.7500 0.7500 Ge
```

The value obtained for the energy above the lowest structure with this stoichiometry is 0.036 eV/atom. As for the crystal system: cubic. As for the formation energy: -32 meV/atom.


3.
Li2CaHg2Pd2 | GGA-PBE | relaxed

```
Li2CaHg2Pd2
1.0
4.1076 -2.3501 0.0000
4.1076 2.3501 0.0000
-2.6654 0.0000 6.8954
Li Ca Hg Pd
2 1 2 2
direct
0.1493 0.1493 0.4479 Li
0.8507 0.8507 0.5521 Li
0.0000 0.0000 0.0000 Ca
0.4269 0.4269 0.2797 Hg
0.5731 0.5731 0.7203 Hg
0.2769 0.2769 0.8305 Pd
0.7231 0.7231 0.1695 Pd
```

As for the crystal system: monoclinic. As for the formation energy: -455 meV/atom.


4.
Ba2ScTc | GGA-PBE | relaxed

```
Ba2ScTc
1.0
3.7264 0.0000 0.0000
0.0000 3.8566 0.0000
-1.1684 0.0000 9.5673
Ba Sc Tc
2 1 1
direct
0.0000 0.0000 0.0000 Ba
0.3933 0.5000 0.5943 Ba
0.5853 0.5000 0.2625 Sc
0.0874 0.0000 0.3432 Tc
```

The value obtained for the energy above the lowest structure with this stoichiometry is 0.000 eV/atom. As for the crystal system: monoclinic. As for the formation energy: 346 meV/atom.


5.
CuSnN | GGA-PBE | relaxed

```
CuSnN
1.0
5.1614 -1.7903 0.0000
5.1614 1.7903 0.0000
-4.2402 0.0000 5.3303
Cu Sn N
2 2 2
direct
0.0000 0.0000 0.0000 Cu
0.5370 0.5370 0.7590 Cu
0.2117 0.2117 0.6265 Sn
0.3453 0.3453 0.2522 Sn
0.1194 0.1194 0.8596 N
0.9673 0.9673 0.2449 N
```

The value obtained for the energy above the lowest structure with this stoichiometry is 0.077 eV/atom. As for the crystal system: monoclinic. Its uncorrected formation energy is 0.312 eV/atom.


6.
Y3Si4Ir2 | GGA-PBE | relaxed

```
Y3Si4Ir2
1.0
5.4694 -2.0123 0.0000
5.4694 2.0123 0.0000
-1.6719 0.0000 8.0775
Y Si Ir
3 4 2
direct
0.0000 0.0000 0.0000 Y
0.3317 0.3317 0.3401 Y
0.6683 0.6683 0.6599 Y
0.0502 0.0502 0.3844 Si
0.2775 0.2775 0.9361 Si
0.7225 0.7225 0.0639 Si
0.9498 0.9498 0.6156 Si
0.3925 0.3925 0.7235 Ir
0.6075 0.6075 0.2765 Ir
```

The value obtained for the energy above the lowest structure with this stoichiometry is 0.029 eV/atom. As for the crystal system: monoclinic. Its uncorrected formation energy is -0.918 eV/atom.


7.
Ag3Hg2F7 | GGA-PBE | relaxed

```
Ag3Hg2F7
1.0
10.6703 -3.0263 0.0000
10.6703 3.0263 0.0000
0.0000 0.0000 6.2632
Ag Hg F
6 4 14
direct
0.0606 0.5359 0.3595 Ag
0.2234 0.7766 0.5000 Ag
0.4641 0.9394 0.3595 Ag
0.5359 0.0606 0.8595 Ag
0.7766 0.2234 0.0000 Ag
0.9394 0.4641 0.8595 Ag
0.1495 0.6464 0.9318 Hg
0.3536 0.8505 0.9318 Hg
0.6464 0.1495 0.4318 Hg
0.8505 0.3536 0.4318 Hg
0.0063 0.1360 0.7379 F
0.0946 0.3094 0.5098 F
0.1360 0.0063 0.2379 F
0.3041 0.4157 0.6384 F
0.3094 0.0946 0.0098 F
0.3898 0.6102 0.8591 F
0.4157 0.3041 0.1384 F
0.5843 0.6959 0.6384 F
0.6102 0.3898 0.3591 F
0.6906 0.9054 0.5098 F
0.6959 0.5843 0.1384 F
0.8640 0.9937 0.7379 F
0.9054 0.6906 0.0098 F
0.9937 0.8640 0.2379 F
```

As for the crystal system: orthorhombic. Its uncorrected formation energy is -1.182 eV/atom.


8.
YZrGe3 | GGA-PBE | relaxed

```
YZrGe3
1.0
5.1751 0.0000 0.0000
0.0000 5.1751 0.0000
0.0000 0.0000 5.1751
Y Zr Ge
1 1 3
direct
0.0000 0.0000 0.0000 Y
0.5000 0.5000 0.5000 Zr
0.0000 0.0000 0.5000 Ge
0.0000 0.5000 0.0000 Ge
0.5000 0.0000 0.0000 Ge
```

As for the crystal system: cubic. As for the formation energy: 794 meV/atom.


9.
Hg3Au5I12 | GGA-PBE | relaxed

```
Hg3Au5I12
1.0
-9.3501 9.3501 9.3501
9.3501 -9.3501 9.3501
9.3501 9.3501 -9.3501
Hg Au I
12 20 48
direct
0.1250 0.2500 0.3750 Hg
0.1250 0.3750 0.7500 Hg
0.2500 0.3750 0.1250 Hg
0.2500 0.8750 0.6250 Hg
0.3750 0.1250 0.2500 Hg
0.3750 0.7500 0.1250 Hg
0.6250 0.2500 0.8750 Hg
0.6250 0.8750 0.7500 Hg
0.7500 0.1250 0.3750 Hg
0.7500 0.6250 0.8750 Hg
0.8750 0.6250 0.2500 Hg
0.8750 0.7500 0.6250 Hg
0.0000 0.0000 0.0000 Au
0.0000 0.0000 0.5000 Au
0.0000 0.5000 0.0000 Au
0.0000 0.5000 0.5000 Au
0.1250 0.7500 0.8750 Au
0.1250 0.8750 0.2500 Au
0.2500 0.1250 0.8750 Au
0.2500 0.6250 0.3750 Au
0.3750 0.2500 0.6250 Au
0.3750 0.6250 0.7500 Au
0.5000 0.0000 0.0000 Au
0.5000 0.0000 0.5000 Au
0.5000 0.5000 0.0000 Au
0.5000 0.5000 0.5000 Au
0.6250 0.3750 0.2500 Au
0.6250 0.7500 0.3750 Au
0.7500 0.3750 0.6250 Au
0.7500 0.8750 0.1250 Au
0.8750 0.1250 0.7500 Au
0.8750 0.2500 0.1250 Au
0.0012 0.1615 0.1470 I
0.0012 0.3398 0.8542 I
0.0145 0.6615 0.6602 I
0.0145 0.8530 0.3542 I
0.1458 0.6470 0.4855 I
0.1458 0.9988 0.6602 I
0.1470 0.0012 0.1615 I
0.1470 0.6458 0.9855 I
0.1602 0.1615 0.5145 I
0.1602 0.4988 0.6458 I
0.1615 0.1470 0.0012 I
0.1615 0.5145 0.1602 I
0.3385 0.3398 0.9855 I
0.3385 0.4988 0.3530 I
0.3398 0.8542 0.0012 I
0.3398 0.9855 0.3385 I
0.3530 0.3385 0.4988 I
0.3530 0.5145 0.8542 I
0.3542 0.0145 0.8530 I
0.3542 0.8398 0.5012 I
0.4855 0.1458 0.6470 I
0.4855 0.8398 0.8385 I
0.4988 0.3530 0.3385 I
0.4988 0.6458 0.1602 I
0.5012 0.3542 0.8398 I
0.5012 0.6470 0.6615 I
0.5145 0.1602 0.1615 I
0.5145 0.8542 0.3530 I
0.6458 0.1602 0.4988 I
0.6458 0.9855 0.1470 I
0.6470 0.4855 0.1458 I
0.6470 0.6615 0.5012 I
0.6602 0.0145 0.6615 I
0.6602 0.1458 0.9988 I
0.6615 0.5012 0.6470 I
0.6615 0.6602 0.0145 I
0.8385 0.4855 0.8398 I
0.8385 0.8530 0.9988 I
0.8398 0.5012 0.3542 I
0.8398 0.8385 0.4855 I
0.8530 0.3542 0.0145 I
0.8530 0.9988 0.8385 I
0.8542 0.0012 0.3398 I
0.8542 0.3530 0.5145 I
0.9855 0.1470 0.6458 I
0.9855 0.3385 0.3398 I
0.9988 0.6602 0.1458 I
0.9988 0.8385 0.8530 I
```

As for the crystal system: cubic. Its uncorrected formation energy is 0.005 eV/atom.


10.
CsPr2W2N6 | GGA-PBE | relaxed

```
CsPr2W2N6
1.0
5.9963 -3.4645 0.0000
5.9963 3.4645 0.0000
-3.8968 0.0000 6.1404
Cs Pr W N
1 2 2 6
direct
0.0000 0.0000 0.0000 Cs
0.3231 0.3231 0.7119 Pr
0.6769 0.6769 0.2881 Pr
0.3791 0.3791 0.3097 W
0.6209 0.6209 0.6903 W
0.0920 0.5184 0.3546 N
0.4235 0.4235 0.1003 N
0.4816 0.9080 0.6454 N
0.5184 0.0920 0.3546 N
0.5765 0.5765 0.8997 N
0.9080 0.4816 0.6454 N
```

As for the crystal system: monoclinic. Its uncorrected formation energy is -0.540 eV/atom.


11.
MgZnMo2 | GGA-PBE | relaxed

```
MgZnMo2
1.0
2.6756 -4.5194 0.0000
2.6756 4.5194 0.0000
-0.5174 0.0000 2.6332
Mg Zn Mo
1 1 2
direct
0.0000 0.0000 0.0000 Mg
0.5000 0.5000 0.0000 Zn
0.0000 0.5000 0.5000 Mo
0.5000 0.0000 0.5000 Mo
```

The value obtained for the energy above the lowest structure with this stoichiometry is 0.094 eV/atom. As for the crystal system: monoclinic. As for the formation energy: 221 meV/atom.


12.
CeBr2Cl2 | GGA-PBE | relaxed

```
CeBr2Cl2
1.0
-2.3629 2.3629 14.2972
2.3629 -2.3629 14.2972
2.3629 2.3629 -14.2972
Ce Br Cl
2 4 4
direct
0.3750 0.6250 0.7500 Ce
0.6250 0.3750 0.2500 Ce
0.1895 0.4395 0.7500 Br
0.4395 0.1895 0.2500 Br
0.5605 0.8105 0.7500 Br
0.8105 0.5605 0.2500 Br
0.0747 0.3247 0.7500 Cl
0.3247 0.0747 0.2500 Cl
0.6753 0.9253 0.7500 Cl
0.9253 0.6753 0.2500 Cl
```

The value obtained for the energy above the lowest structure with this stoichiometry is 0.049 eV/atom. As for the crystal system: tetragonal. Its uncorrected formation energy is -1.656 eV/atom.


13.
La3Al4Zn2 | GGA-PBE | relaxed

```
La3Al4Zn2
1.0
5.6005 -2.3064 0.0000
5.6005 2.3064 0.0000
-2.7438 0.0000 8.4643
La Al Zn
3 4 2
direct
0.0000 0.0000 0.0000 La
0.3466 0.3466 0.3273 La
0.6534 0.6534 0.6727 La
0.0753 0.0753 0.4031 Al
0.2733 0.2733 0.9367 Al
0.7267 0.7267 0.0633 Al
0.9247 0.9247 0.5969 Al
0.3596 0.3596 0.6945 Zn
0.6404 0.6404 0.3055 Zn
```

As for the crystal system: monoclinic. As for the formation energy: -425 meV/atom.


14.
NdTmSb | GGA-PBE | relaxed

```
NdTmSb
1.0
-2.0018 2.0018 5.4385
2.0018 -2.0018 5.4385
2.0018 2.0018 -5.4385
Nd Tm Sb
1 1 1
direct
0.0000 0.0000 0.0000 Nd
0.3040 0.3040 0.0000 Tm
0.6675 0.6675 0.0000 Sb
```

As for the crystal system: tetragonal. Its uncorrected formation energy is -0.620 eV/atom.


15.
InOsAu2 | GGA-PBE | relaxed

```
InOsAu2
1.0
2.8195 -5.0786 0.0000
2.8195 5.0786 0.0000
-1.4830 0.0000 2.5240
In Os Au
1 1 2
direct
0.0000 0.0000 0.0000 In
0.5000 0.5000 0.0000 Os
0.0000 0.5000 0.5000 Au
0.5000 0.0000 0.5000 Au
```

As for the crystal system: monoclinic. As for the formation energy: 430 meV/atom.


16.
Er3AlIn | GGA-PBE | relaxed

```
Er3AlIn
1.0
2.4348 -10.8992 0.0000
2.4348 10.8992 0.0000
0.0000 0.0000 4.8710
Er Al In
6 2 2
direct
0.0593 0.9407 0.7500 Er
0.2500 0.7500 0.7500 Er
0.4405 0.5595 0.7500 Er
0.5595 0.4405 0.2500 Er
0.7500 0.2500 0.2500 Er
0.9407 0.0593 0.2500 Er
0.1546 0.8454 0.2500 Al
0.8454 0.1546 0.7500 Al
0.3454 0.6546 0.2500 In
0.6546 0.3454 0.7500 In
```

The value obtained for the energy above the lowest structure with this stoichiometry is 0.000 eV/atom. As for the crystal system: orthorhombic. As for the formation energy: -331 meV/atom.


17.
KSr2TaAl | GGA-PBE | relaxed

```
KSr2TaAl
1.0
6.3149 0.0000 0.0000
0.0000 6.3149 0.0000
0.0000 0.0000 5.2266
K Sr Ta Al
1 2 1 1
direct
0.0000 0.0000 0.0000 K
0.0000 0.5000 0.5000 Sr
0.5000 0.0000 0.5000 Sr
0.5000 0.5000 0.0000 Ta
0.5000 0.5000 0.5000 Al
```

As for the crystal system: tetragonal. As for the formation energy: 770 meV/atom.


18.
ZnReAs2Br | GGA-PBE | relaxed

```
ZnReAs2Br
1.0
4.7500 0.0000 0.0000
0.0000 4.7500 0.0000
0.0000 0.0000 5.5632
Zn Re As Br
1 1 2 1
direct
0.0000 0.0000 0.0000 Zn
0.5000 0.5000 0.5000 Re
0.0000 0.5000 0.5000 As
0.5000 0.0000 0.5000 As
0.5000 0.5000 0.0000 Br
```

The value obtained for the energy above the lowest structure with this stoichiometry is 0.000 eV/atom. As for the crystal system: tetragonal. Its uncorrected formation energy is 0.514 eV/atom.


19.
Tb2Pr5Er2 | GGA-PBE | relaxed

```
Tb2Pr5Er2
1.0
7.7217 -2.5734 0.0000
7.7217 2.5734 0.0000
-2.5951 0.0000 7.7013
Tb Pr Er
2 5 2
direct
0.1086 0.1086 0.1645 Tb
0.8914 0.8914 0.8355 Tb
0.0000 0.0000 0.5000 Pr
0.2226 0.2226 0.8362 Pr
0.3341 0.3341 0.4991 Pr
0.6659 0.6659 0.5009 Pr
0.7774 0.7774 0.1638 Pr
0.4456 0.4456 0.1620 Er
0.5544 0.5544 0.8380 Er
```

The value obtained for the energy above the lowest structure with this stoichiometry is 0.000 eV/atom. As for the crystal system: monoclinic. As for the formation energy: 19 meV/atom.


20.
MgInRe2 | GGA-PBE | relaxed

```
MgInRe2
1.0
3.0341 0.0000 0.0000
0.0000 3.0353 0.0000
-0.0097 0.0000 7.8807
Mg In Re
1 1 2
direct
0.0000 0.0000 0.0000 Mg
0.4971 0.5000 0.3098 In
0.4994 0.5000 0.7586 Re
0.9987 0.0000 0.5763 Re
```

The value obtained for the energy above the lowest structure with this stoichiometry is 0.000 eV/atom. As for the crystal system: monoclinic. As for the formation energy: 144 meV/atom.


We obtain total magnetic moment values of 0.51, 0.00, 0.00, 0.00, 0.00, 0.00, 0.00, 0.00, 0.00, 1.02, 0.00, 0.34, 0.00, 0.92, 0.74, 0.00, 3.19, 0.00, 0.00, 0.00 Bohr magnetons per cell for the records listed above, in that order.
We obtain V values of 36.3, 15.4, 19.0, 34.4, 16.4, 19.8, 16.9, 27.7, 40.9, 23.2, 15.9, 31.9, 24.3, 29.1, 18.1, 25.9, 41.7, 25.1, 34.0, 18.1 Å³/atom for the records listed above, in that order.